(1)
## GdTl9Te6 (PBE)

Data for GdTl9Te6 after structural relaxation.

Its volume is 1084.6 Å³/cell. The uncorrected formation energy is -0.49 eV/atom.

The space group is I4/m (No. 87) and the conventional cell measures 8.966, 8.966 and 13.491 Å, with angles of 90.00, 90.00 and 90.00 degrees. The asymmetric unit holds Gd at (0.000, 0.000, 0.000), Tl at (0.000, 0.000, 0.500), Tl at (0.145, 0.650, 0.342), Te at (0.000, 0.000, 0.233) and Te at (0.149, 0.676, 0.000).

(2)
## Y2PbBr (PBE)

Data for Y2PbBr after structural relaxation.

Its volume is 115.8 Å³/cell. The calculation puts the density of states at the Fermi level at 2.68 states/eV per cell. The uncorrected formation energy is -0.76 eV/atom. For the energy above the lowest structure with this stoichiometry, the calculation gives 0.0055 eV/atom.

The space group is P4/mmm (No. 123) and the conventional cell measures 5.629, 5.629 and 3.655 Å, with angles of 90.00, 90.00 and 90.00 degrees. The asymmetric unit holds Y at (0.000, 0.500, 0.000), Pb at (0.000, 0.000, 0.500) and Br at (0.500, 0.500, 0.000).

(3)
## La3Ni2Sn2 (PBE)

Data for La3Ni2Sn2 after structural relaxation.

Its volume is 377.2 Å³/cell. The calculation puts the density of states at the Fermi level at 13.29 states/eV per cell. The energy of formation comes out at -0.568 eV per atom.

The space group is Immm (No. 71) and the conventional cell measures 4.480, 4.606 and 18.284 Å, with angles of 90.00, 90.00 and 90.00 degrees. The asymmetric unit holds La at (0.000, 0.000, 0.000), La at (0.000, 0.500, 0.172), Ni at (0.000, 0.000, 0.435) and Sn at (0.000, 0.500, 0.361).

(4)
## GdNi5 (PBE)

Data for GdNi5 after structural relaxation.

Its volume is 82.6 Å³/cell. The calculation puts the density of states at the Fermi level at 7.45 states/eV per cell. The energy of formation comes out at -0.308 eV per atom.

The space group is P6/mmm (No. 191) and the conventional cell measures 4.9091, 4.9091 and 3.9556 Å, with angles of 90.00, 90.00 and 120.00 degrees. The asymmetric unit holds Gd at (0.0000, 0.0000, 0.0000), Ni at (0.0000, 0.5000, 0.5000) and Ni at (0.3333, 0.6667, 0.0000).

(5)
## Mg2VAgH (PBE)

Data for Mg2VAgH after structural relaxation.

Its volume is 91.9 Å³/cell. The calculation puts the density of states at the Fermi level at 4.08 states/eV per cell. The total DFT energy (no corrections) is -3.119 eV/atom.

The space group is P4/mmm (No. 123) and the conventional cell measures 5.360, 5.360 and 3.199 Å, with angles of 90.00, 90.00 and 90.00 degrees. The asymmetric unit holds Mg at (0.000, 0.500, 0.000), V at (0.000, 0.000, 0.000), Ag at (0.500, 0.500, 0.500) and H at (0.000, 0.000, 0.500).

(6)
## Nb2Al2Au (PBE)

Data for Nb2Al2Au after structural relaxation.

Its volume is 192.3 Å³/cell. The calculation puts the density of states at the Fermi level at 6.75 states/eV per cell. For the energy above the lowest structure with this stoichiometry, the calculation gives 0.5524 eV/atom. The energy of formation comes out at 0.318 eV per atom.

The space group is I4/mmm (No. 139) and the conventional cell measures 3.701, 3.701 and 14.040 Å, with angles of 90.00, 90.00 and 90.00 degrees. The asymmetric unit holds Nb at (0.000, 0.500, 0.250), Al at (0.000, 0.000, 0.092) and Au at (0.000, 0.000, 0.500).

(7)
## Ba2AsSe (PBE)

Data for Ba2AsSe after structural relaxation.

Its volume is 662.7 Å³/cell. The calculation puts the density of states at the Fermi level at 2.43 states/eV per cell. The uncorrected formation energy is -1.16 eV/atom. For the energy above the lowest structure with this stoichiometry, the calculation gives 0.2239 eV/atom.

The space group is I-42d (No. 122) and the conventional cell measures 8.505, 8.505 and 9.163 Å, with angles of 90.00, 90.00 and 90.00 degrees. The asymmetric unit holds Ba at (0.242, 0.750, 0.125), As at (0.000, 0.000, 0.500) and Se at (0.000, 0.000, 0.000).

(8)
## CrAgC2Se (PBE)

Data for CrAgC2Se after structural relaxation.

Its volume is 75.5 Å³/cell. The calculation puts the density of states at the Fermi level at 2.82 states/eV per cell. The uncorrected formation energy is 1.18 eV/atom.

The space group is P4/mmm (No. 123) and the conventional cell measures 3.775, 3.775 and 5.295 Å, with angles of 90.00, 90.00 and 90.00 degrees. The asymmetric unit holds Cr at (0.000, 0.000, 0.000), Ag at (0.500, 0.500, 0.500), C at (0.000, 0.500, 0.000) and Se at (0.000, 0.000, 0.500).

(9)
## PrSmDyZn (PBE)

Data for PrSmDyZn after structural relaxation.

Its volume is 115.8 Å³/cell. The calculation puts the density of states at the Fermi level at 4.93 states/eV per cell. For the energy above the lowest structure with this stoichiometry, the calculation gives 0.0000 eV/atom. The energy of formation comes out at -0.157 eV per atom.

The space group is P4mm (No. 99) and the conventional cell measures 3.630, 3.630 and 8.785 Å, with angles of 90.00, 90.00 and 90.00 degrees. The asymmetric unit holds Pr at (0.000, 0.000, 0.000), Sm at (0.500, 0.500, 0.699), Dy at (0.500, 0.500, 0.293) and Zn at (0.000, 0.000, 0.487).

(10)
## NaNd5Ag4 (PBE)

Data for NaNd5Ag4 after structural relaxation.

Its volume is 284.4 Å³/cell. The calculation puts the density of states at the Fermi level at 10.99 states/eV per cell. The energy of formation comes out at -0.142 eV per atom.

The space group is P4/mmm (No. 123) and the conventional cell measures 3.732, 3.732 and 20.414 Å, with angles of 90.00, 90.00 and 90.00 degrees. The asymmetric unit holds Na at (0.000, 0.000, 0.000), Nd at (0.500, 0.500, 0.132), Nd at (0.500, 0.500, 0.314), Nd at (0.500, 0.500, 0.500), Ag at (0.000, 0.000, 0.219) and Ag at (0.000, 0.000, 0.407).

(11)
## K2MgPBr (PBE)

Data for K2MgPBr after structural relaxation.

Its volume is 239.8 Å³/cell. The calculation puts the density of states at the Fermi level at 6.37 states/eV per cell. The uncorrected formation energy is 0.21 eV/atom.

The space group is P4/mmm (No. 123) and the conventional cell measures 6.805, 6.805 and 5.178 Å, with angles of 90.00, 90.00 and 90.00 degrees. The asymmetric unit holds K at (0.000, 0.500, 0.000), Mg at (0.000, 0.000, 0.000), P at (0.500, 0.500, 0.500) and Br at (0.000, 0.000, 0.500).

(12)
## Dy4CdAgRu2 (PBE)

Data for Dy4CdAgRu2 after structural relaxation.

Its volume is 528.5 Å³/cell. The calculation puts the density of states at the Fermi level at 18.56 states/eV per cell. The energy of formation comes out at -0.320 eV per atom.

The space group is R-3m (No. 166, hexagonal axes) and the conventional cell measures 4.9916, 4.9916 and 24.4910 Å, with angles of 90.00, 90.00 and 120.00 degrees. The asymmetric unit holds Dy at (0.0000, 0.0000, 0.1230), Dy at (0.0000, 0.0000, 0.3734), Cd at (0.0000, 0.0000, 0.5000), Ag at (0.0000, 0.0000, 0.0000) and Ru at (0.0000, 0.0000, 0.2490).

(13)
## PmY6Th2 (PBE)

Data for PmY6Th2 after structural relaxation.

Its volume is 296.6 Å³/cell. The calculation puts the density of states at the Fermi level at 19.11 states/eV per cell. For the energy above the lowest structure with this stoichiometry, the calculation gives 0.0000 eV/atom. The energy of formation comes out at 0.073 eV per atom.

The space group is P-6m2 (No. 187) and the conventional cell measures 3.5965, 3.5965 and 26.4807 Å, with angles of 90.00, 90.00 and 120.00 degrees. The asymmetric unit holds Pm at (0.0000, 0.0000, 0.0000), Y at (0.0000, 0.0000, 0.2187), Y at (0.0000, 0.0000, 0.4370), Y at (0.3333, 0.6667, 0.1111) and Th at (0.3333, 0.6667, 0.3301).

(14)
## DyEr3Sc2S6 (PBE)

Data for DyEr3Sc2S6 after structural relaxation.

Its volume is 471.8 Å³/cell. The calculation puts the density of states at the Fermi level at 10.66 states/eV per cell. The uncorrected formation energy is -1.93 eV/atom.

The space group is C2/m (No. 12) and the conventional cell measures 6.600, 11.471 and 6.610 Å, with angles of 90.00, 109.48 and 90.00 degrees. The asymmetric unit holds Dy at (0.000, 0.000, 0.000), Er at (0.000, 0.163, 0.500), Er at (0.000, 0.500, 0.500), Sc at (0.000, 0.334, 0.000), S at (0.238, 0.500, 0.241) and S at (0.247, 0.329, 0.756).

(15)
## Ce2PdN (PBE)

Data for Ce2PdN after structural relaxation.

Its volume is 236.5 Å³/cell. The calculation puts the density of states at the Fermi level at 20.75 states/eV per cell. The uncorrected formation energy is -0.71 eV/atom. For the energy above the lowest structure with this stoichiometry, the calculation gives 0.0000 eV/atom.

The space group is R-3m (No. 166, hexagonal axes) and the conventional cell measures 3.3022, 3.3022 and 25.0442 Å, with angles of 90.00, 90.00 and 120.00 degrees. The asymmetric unit holds Ce at (0.0000, 0.0000, 0.1074), Pd at (0.0000, 0.0000, 0.0000) and N at (0.0000, 0.0000, 0.5000).

(16)
## ScBe2Fe (PBE)

Data for ScBe2Fe after structural relaxation.

Its volume is 49.9 Å³/cell. The calculation puts the density of states at the Fermi level at 2.46 states/eV per cell. For the energy above the lowest structure with this stoichiometry, the calculation gives 0.2233 eV/atom. The energy of formation comes out at 0.140 eV per atom.

The space group is P4/mmm (No. 123) and the conventional cell measures 3.657, 3.657 and 3.731 Å, with angles of 90.00, 90.00 and 90.00 degrees. The asymmetric unit holds Sc at (0.000, 0.000, 0.000), Be at (0.000, 0.500, 0.500) and Fe at (0.500, 0.500, 0.000).

(17)
## PmTm5Se6 (PBE)

Data for PmTm5Se6 after structural relaxation.

Its volume is 562.2 Å³/cell. The calculation puts the density of states at the Fermi level at 10.18 states/eV per cell. The uncorrected formation energy is -1.69 eV/atom.

The space group is C2/m (No. 12) and the conventional cell measures 6.974, 12.153 and 7.030 Å, with angles of 90.00, 109.35 and 90.00 degrees. The asymmetric unit holds Pm at (0.000, 0.000, 0.000), Tm at (0.000, 0.158, 0.500), Tm at (0.000, 0.335, 0.000), Tm at (0.000, 0.500, 0.500), Se at (0.239, 0.500, 0.251) and Se at (0.242, 0.327, 0.743).

(18)
## YErZn6 (PBE)

Data for YErZn6 after structural relaxation.

Its volume is 298.0 Å³/cell. The calculation puts the density of states at the Fermi level at 6.79 states/eV per cell. The energy of formation comes out at -0.317 eV per atom.

The space group is Amm2 (No. 38) and the conventional cell measures 4.398, 6.545 and 10.352 Å, with angles of 90.00, 90.00 and 90.00 degrees. The asymmetric unit holds Y at (0.000, 0.000, 0.000), Er at (0.500, 0.000, 0.707), Zn at (0.000, 0.000, 0.515), Zn at (0.000, 0.207, 0.268), Zn at (0.500, 0.000, 0.195) and Zn at (0.500, 0.205, 0.438).

(19)
## VCoI2N (PBE)

Data for VCoI2N after structural relaxation.

Its volume is 98.8 Å³/cell. The calculation puts the density of states at the Fermi level at 6.27 states/eV per cell. The uncorrected formation energy is 0.83 eV/atom. For the energy above the lowest structure with this stoichiometry, the calculation gives 0.2869 eV/atom.

The space group is P4/mmm (No. 123) and the conventional cell measures 5.349, 5.349 and 3.455 Å, with angles of 90.00, 90.00 and 90.00 degrees. The asymmetric unit holds V at (0.000, 0.000, 0.000), Co at (0.500, 0.500, 0.500), I at (0.000, 0.500, 0.500) and N at (0.500, 0.500, 0.000).

(20)
## CaTaAgSe4 (PBE)

Data for CaTaAgSe4 after structural relaxation.

Its volume is 823.8 Å³/cell. The calculation puts the density of states at the Fermi level at 0.00 states/eV per cell. The uncorrected formation energy is -0.87 eV/atom.

The space group is Cmcm (No. 63) and the conventional cell measures 8.135, 11.930 and 8.488 Å, with angles of 90.00, 90.00 and 90.00 degrees. The asymmetric unit holds Ca at (0.000, 0.000, 0.000), Ta at (0.000, 0.363, 0.250), Ag at (0.000, 0.375, 0.750), Se at (0.000, 0.250, 0.018) and Se at (0.250, 0.020, 0.750).